No. 1
Computed, not measured: a relaxed structure of ErGa8Rh2 at the GGA-PBE level of DFT.

Properties
The value obtained for the density of states at the Fermi level is 0.45 states/eV per atom. Its energy of formation is -0.379 eV/atom. The space group is C2/m, No. 12.

The structure in POSCAR format:
```
ErGa8Rh2
1.0
4.220 -5.159 0.000
4.220 5.159 0.000
-0.976 0.000 4.704
Er Ga Rh
1 8 2
direct
0.000 0.000 0.000
0.099 0.349 0.611
0.292 0.708 0.000
0.349 0.099 0.611
0.373 0.373 0.224
0.627 0.627 0.776
0.651 0.901 0.389
0.708 0.292 0.000
0.901 0.651 0.389
0.286 0.714 0.500
0.714 0.286 0.500
```

***

No. 2
Computed, not measured: a relaxed structure of CrAgH at the GGA-PBE level of DFT.

Properties
The value obtained for the density of states at the Fermi level is 0.35 states/eV per atom. Its excess energy over the best structure of this formula in the dataset is 0 meV/atom. The space group is P-1, No. 2.

The structure in POSCAR format:
```
CrAgH
1.0
2.789 0.000 0.000
-1.376 2.427 0.000
-0.531 -1.212 9.823
Cr Ag H
2 2 2
direct
0.136 0.448 0.094
0.864 0.552 0.906
0.388 0.731 0.624
0.612 0.269 0.376
0.481 0.860 0.826
0.519 0.140 0.174
```

***

No. 3
Computed, not measured: a relaxed structure of K5Na2Hg4 at the GGA-PBE level of DFT.

Properties
The value obtained for the density of states at the Fermi level is 0.49 states/eV per atom. Its excess energy over the best structure of this formula in the dataset is 0 meV/atom. Its energy of formation is -0.166 eV/atom. The space group is C2/m, No. 12.

The structure in POSCAR format:
```
K5Na2Hg4
1.0
9.848 -2.635 0.000
9.848 2.635 0.000
-1.847 0.000 8.780
K Na Hg
5 2 4
direct
0.000 0.000 0.000
0.309 0.309 0.396
0.336 0.336 0.914
0.664 0.664 0.086
0.691 0.691 0.604
0.063 0.063 0.650
0.937 0.937 0.350
0.121 0.121 0.339
0.473 0.473 0.668
0.527 0.527 0.332
0.879 0.879 0.661
```

***

No. 4
Computed, not measured: a relaxed structure of K3MoH8 at the GGA-PBE level of DFT.

Properties
As for the total energy: -3.61 eV/atom. The space group is I-42m, No. 121.

The structure in POSCAR format:
```
K3MoH8
1.0
-3.139 3.139 4.112
3.139 -3.139 4.112
3.139 3.139 -4.112
K Mo H
3 1 8
direct
0.000 0.000 0.000
0.250 0.750 0.500
0.750 0.250 0.500
0.500 0.500 0.000
0.213 0.213 0.782
0.247 0.644 0.000
0.356 0.356 0.604
0.431 0.431 0.218
0.569 0.787 0.000
0.644 0.247 0.000
0.753 0.753 0.396
0.787 0.569 0.000
```

***

No. 5
Computed, not measured: a relaxed structure of PaTlReN4 at the GGA-PBE level of DFT.

Properties
The calculation puts the uncorrected formation energy at -0.3936 eV per atom. The value obtained for the density of states at the Fermi level is 0.60 states/eV per atom. The space group is P2_1/m, No. 11.

The structure in POSCAR format:
```
PaTlReN4
1.0
6.182 0.000 0.000
0.000 5.835 0.000
-2.127 0.000 7.601
Pa Tl Re N
2 2 2 8
direct
0.201 0.250 0.058
0.799 0.750 0.942
0.298 0.250 0.592
0.702 0.750 0.408
0.269 0.750 0.858
0.731 0.250 0.142
0.054 0.512 0.843
0.054 0.988 0.843
0.460 0.750 0.718
0.472 0.750 0.068
0.528 0.250 0.932
0.540 0.250 0.282
0.946 0.012 0.157
0.946 0.488 0.157
```

***

No. 6
Computed, not measured: a relaxed structure of Nd8Ni3CBr4 at the GGA-PBE level of DFT.

Properties
The calculation puts the uncorrected formation energy at -0.7719 eV per atom. The value obtained for the density of states at the Fermi level is 0.84 states/eV per atom. The space group is C2/m, No. 12.

The structure in POSCAR format:
```
Nd8Ni3CBr4
1.0
6.987 -4.027 0.000
6.987 4.027 0.000
-4.660 0.000 7.628
Nd Ni C Br
8 3 1 4
direct
0.222 0.222 0.689
0.222 0.746 0.689
0.254 0.778 0.311
0.269 0.269 0.307
0.731 0.731 0.693
0.746 0.222 0.689
0.778 0.254 0.311
0.778 0.778 0.311
0.000 0.500 0.500
0.500 0.000 0.500
0.500 0.500 0.500
0.000 0.000 0.500
0.000 0.000 0.000
0.000 0.500 0.000
0.500 0.000 0.000
0.500 0.500 0.000
```